Record 1
This record from Alexandria via LeMat-Bulk describes an optimized crystal structure of Mg6H2Pb3. The functional is GGA-PBE.

Energy, eV/atom: -2.506

abc: 4.5791 4.5791 22.3264
angles: 90.00 90.00 90.00
Last column: nearest neighbours and their distance in Å.
Space group I4/mmm (No. 139)
Asymmetric unit:
Mg: 0.0000 0.0000 0.1850 [4 per cell]  1 H 2.11
Mg: 0.0000 0.5000 0.0843 [8 per cell]  2 H 2.29
H: 0.0000 0.0000 0.0907 [4 per cell]  5 Mg 2.11-2.29
Pb: 0.0000 0.0000 0.3193 [4 per cell]  9 Mg 3.00-3.24
Pb: 0.0000 0.0000 0.5000 [2 per cell]  8 Mg 2.96

---

Record 2
This record from Alexandria via LeMat-Bulk describes an optimized crystal structure of K5Na2Hg4. The functional is GGA-PBE.

Energy above the lowest structure with this stoichiometry, meV per atom: 23

abc: 12.5549 8.1779 9.5534
angles: 90.00 108.67 90.00
Last column: nearest neighbours and their distance in Å.
Space group C2/m (No. 12)
Asymmetric unit:
K: 0.0000 0.0000 0.0000 [2 per cell]  4 Hg 3.46-3.63
K: 0.1828 0.2617 0.6799 [8 per cell]  5 Hg 3.50-3.91, 1 Na 3.86, 1 K 3.90
Na: 0.0472 0.5000 0.2055 [4 per cell]  2 Hg 3.23-3.24
Hg: 0.0652 0.0000 0.3808 [4 per cell]  1 Hg 3.20, 3 K 3.46-3.50
Hg: 0.2120 0.5000 0.0055 [4 per cell]  2 Na 3.23-3.24, 4 K 3.58-3.59

---

Record 3
This record from Alexandria via LeMat-Bulk describes an optimized crystal structure of Ba2LiTlNi. The functional is GGA-PBE.

Energy above the lowest structure with this stoichiometry, meV per atom: 0

abc: 6.0134 6.0134 5.1101
angles: 90.00 90.00 90.00
Last column: nearest neighbours and their distance in Å.
Space group P4/mmm (No. 123)
Asymmetric unit:
Ba: 0.0000 0.5000 0.0000 [2 per cell]  2 Ni 3.01
Li: 0.0000 0.0000 0.5000 [1 per cell]  8 Ba 3.95, 4 Tl 4.25
Tl: 0.5000 0.5000 0.5000 [1 per cell]  2 Ni 2.56
Ni: 0.5000 0.5000 0.0000 [1 per cell]  2 Tl 2.56

---

Record 4
This record from Alexandria via LeMat-Bulk describes an optimized crystal structure of KSiSe3. The functional is GGA-PBE.

Raw formation energy, eV/f.u.: -3.33

abc: 9.1860 7.5800 12.3962
angles: 90.00 132.03 90.00
Last column: nearest neighbours and their distance in Å.
Space group P2_1/c (No. 14)
Asymmetric unit:
K: 0.2472 0.2466 0.1296 [4 per cell]  5 Se 3.23-3.59
Si: 0.3631 0.6647 0.4267 [4 per cell]  4 Se 2.25-2.34
Se: 0.2363 0.6748 0.0001 [4 per cell]  1 Si 2.25
Se: 0.2386 0.6961 0.7185 [4 per cell]  1 Si 2.26
Se: 0.2952 0.1367 0.9025 [4 per cell]  2 Si 2.33-2.34

---

Record 5
This record from Alexandria via LeMat-Bulk describes an optimized crystal structure of Ho6ErSc12. The functional is GGA-PBE.

Energy, eV/atom: -5.527

abc: 10.3935 10.3935 16.5077
angles: 90.00 90.00 120.00
Last column: nearest neighbours and their distance in Å.
Space group R-3m (No. 166, hexagonal axes)
Asymmetric unit:
Ho: 0.0641 0.5320 0.2717 [18 per cell]  1 Er 2.98, 3 Sc 3.13-3.16
Er: 0.0000 0.0000 0.5000 [3 per cell]  6 Ho 2.98
Sc: 0.1006 0.5503 0.9124 [18 per cell]  3 Sc 3.15-3.41, 5 Ho 3.36-3.44
Sc: 0.1045 0.2091 0.9023 [18 per cell]  3 Ho 3.13-3.16, 5 Sc 3.15-3.26

---

Record 6
This record from Alexandria via LeMat-Bulk describes an optimized crystal structure of NbPdI2O. The functional is GGA-PBE.

Raw formation energy, eV/f.u.: -1.94
Energy above the lowest structure with this stoichiometry, meV per atom: 0

abc: 5.6672 5.6672 3.8831
angles: 90.00 90.00 90.00
Last column: nearest neighbours and their distance in Å.
Space group P4/mmm (No. 123)
Asymmetric unit:
Nb: 0.0000 0.0000 0.0000 [1 per cell]  2 O 1.94
Pd: 0.5000 0.5000 0.5000 [1 per cell]  8 I 3.43
I: 0.0000 0.5000 0.0000 [2 per cell]  2 Nb 2.83
O: 0.0000 0.0000 0.5000 [1 per cell]  2 Nb 1.94

---

Taking the records one at a time from the top gives volume values of 468; 929; 185; 641; 1544; 125 Å³ per cell.